Density functional theory data (SCAN) for a PBEsol-optimized structure of NbIn3Cl.

a = 5.042 Å, b = 5.042 Å, c = 5.042 Å
α = 90.00°, β = 90.00°, γ = 90.00°
Sites, in units of the cell vectors:
Nb 0.000 0.000 0.000
In 0.000 0.500 0.500
In 0.500 0.000 0.500
In 0.500 0.500 0.000
Cl 0.500 0.500 0.500

Values from the calculation:
Total magnetization ... 0.00 μB/f.u.
Raw total energy ... -27.3638 eV per atom
Space-group type ... Pm-3m, No. 221